A relaxed structure of NdErMnCd. Source: the Alexandria database, functional GGA-PBE.

Output
- total energy (eV/cell) = -19.39
- magnetization (μB per formula unit) = 3.20
- ΔE_f (meV per atom) = 6

Unit cell a=5.227 b=5.227 c=5.227 alpha=60.00 beta=60.00 gamma=60.00
Atoms (fractional coordinates):
Nd 0.000 0.000 0.000
Er 0.500 0.500 0.500
Mn 0.250 0.250 0.250
Cd 0.750 0.750 0.750

---

A relaxed structure of PrErMnCd. Source: the Alexandria database, functional GGA-PBE.

Output
- total energy (eV/cell) = -19.38
- magnetization (μB per formula unit) = 3.24
- ΔE_f (meV per atom) = 13

Unit cell a=5.249 b=5.249 c=5.249 alpha=60.00 beta=60.00 gamma=60.00
Atoms (fractional coordinates):
Pr 0.000 0.000 0.000
Er 0.500 0.500 0.500
Mn 0.250 0.250 0.250
Cd 0.750 0.750 0.750

---

A relaxed structure of ErScMnCd. Source: the Alexandria database, functional GGA-PBE.

Output
- total energy (eV/cell) = -21.03
- magnetization (μB per formula unit) = 2.90
- ΔE_f (meV per atom) = -13

Unit cell a=4.994 b=4.994 c=4.994 alpha=60.00 beta=60.00 gamma=60.00
Atoms (fractional coordinates):
Er 0.000 0.000 0.000
Sc 0.500 0.500 0.500
Mn 0.750 0.750 0.750
Cd 0.250 0.250 0.250

---

A relaxed structure of TbErMnCd. Source: the Alexandria database, functional GGA-PBE.

Output
- total energy (eV/cell) = -19.34
- magnetization (μB per formula unit) = 3.08
- ΔE_f (meV per atom) = -14

Unit cell a=5.147 b=5.147 c=5.147 alpha=60.00 beta=60.00 gamma=60.00
Atoms (fractional coordinates):
Tb 0.000 0.000 0.000
Er 0.500 0.500 0.500
Mn 0.750 0.750 0.750
Cd 0.250 0.250 0.250

---

A relaxed structure of ErThMnCd. Source: the Alexandria database, functional GGA-PBE.

Output
- total energy (eV/cell) = -21.80
- magnetization (μB per formula unit) = 2.67
- ΔE_f (meV per atom) = 66

Unit cell a=5.202 b=5.202 c=5.202 alpha=60.00 beta=60.00 gamma=60.00
Atoms (fractional coordinates):
Er 0.000 0.000 0.000
Th 0.500 0.500 0.500
Mn 0.750 0.750 0.750
Cd 0.250 0.250 0.250

---

A relaxed structure of YErMnCd. Source: the Alexandria database, functional GGA-PBE.

Output
- total energy (eV/cell) = -21.19
- magnetization (μB per formula unit) = 3.18
- ΔE_f (meV per atom) = -19

Unit cell a=5.152 b=5.152 c=5.152 alpha=60.00 beta=60.00 gamma=60.00
Atoms (fractional coordinates):
Y 0.000 0.000 0.000
Er 0.500 0.500 0.500
Mn 0.250 0.250 0.250
Cd 0.750 0.750 0.750

---

A relaxed structure of Er2CdMo. Source: the Alexandria database, functional GGA-PBE.

Output
- total energy (eV/cell) = -20.75
- magnetization (μB per formula unit) = 0.00
- ΔE_f (meV per atom) = 32

Unit cell a=3.514 b=3.514 c=7.600 alpha=90.00 beta=90.00 gamma=90.00
Atoms (fractional coordinates):
Er 0.000 0.000 0.221
Er 0.000 0.000 0.779
Cd 0.500 0.500 0.500
Mo 0.500 0.500 0.000